# OsC2

A PBEsol-optimized structure of OsC2 (meta-GGA SCAN, the Alexandria database).

Its total magnetic moment is 0.03 μB per formula unit. The calculation puts the energy of formation at 1.929 eV/atom. The value obtained for the final energy is -28.76 eV/atom. For the density of states at the Fermi level, the calculation gives 1.63 states/eV/f.u. Its relative energy among the computed polymorphs is 971 meV/atom. The calculation puts the calculated density at 10.390 g/cm3.

CIF file:
```
data_OsC2
_space_group_name_H-M_alt 'P 1'
_space_group_IT_number 1
_cell_length_a 2.946
_cell_length_b 2.946
_cell_length_c 3.945
_cell_angle_alpha 90.00
_cell_angle_beta 90.00
_cell_angle_gamma 90.00
loop_
_space_group_symop_operation_xyz
'x,y,z'
loop_
_atom_site_label
_atom_site_type_symbol
_atom_site_fract_x
_atom_site_fract_y
_atom_site_fract_z
Os1 Os 0.000 0.000 0.000
C1 C 0.000 0.000 0.500
C2 C 0.500 0.500 0.000
```